(1)
Ca2Ta PBE-GGA relaxed; offset from the most stable computed form = 0.361 eV per atom; raw total energy = -13.40 eV per formula unit; DFT formation energy = 237 kJ/mol of formula units; space-group type = Immm; calculated volume = 27.7 A^3/atom
1.0
6.0419 0.0057 -0.0139
3.1207 5.1735 0.0139
-3.9283 -3.7449 2.6550
Ca Ta
2 1
Cartesian
6.0178 3.4016 0.0000 Ca
3.1448 1.7776 0.0000 Ca
0.0000 0.0000 0.0000 Ta

=====

(2)
SrLi2MoCl8 PBE-GGA relaxed; formation energy (no corrections) = -1.52 eV per atom; raw total energy = -49.30 eV per formula unit; space-group type = P-1; calculated volume = 26.1 A^3/atom
1.0
6.2252 0.2515 0.0120
0.2691 6.0901 0.0093
0.0280 0.0305 8.2746
Sr Li Mo Cl
1 2 1 8
Cartesian
0.0140 0.0152 4.1373 Sr
3.2533 3.1739 5.8339 Li
3.2690 3.1981 2.4620 Li
0.0000 0.0000 0.0000 Mo
1.3319 4.7363 1.7437 Cl
4.6570 4.8991 0.0316 Cl
5.1732 1.6162 1.7438 Cl
5.1904 1.6358 6.5522 Cl
1.8653 1.4729 8.2643 Cl
1.3491 4.7559 6.5521 Cl
4.3726 4.4607 4.1595 Cl
2.1497 1.9113 4.1365 Cl

=====

(3)
LiCuP3O9 PBE-GGA relaxed; formation energy (no corrections) = -1.93 eV per atom; offset from the most stable computed form = 0.017 eV per atom; raw total energy = -93.90 eV per formula unit; space-group type = P-1; calculated volume = 12.8 A^3/atom
1.0
6.2161 -0.3991 0.0995
0.2823 7.1755 0.2305
0.1809 1.5167 8.0490
Li Cu P O
2 2 6 18
Cartesian
0.9815 5.3017 1.2931 Li
5.6979 2.9915 7.0859 Li
1.2966 1.8397 1.3181 Cu
5.3828 6.4535 7.0609 Cu
1.1878 2.1132 4.6548 P
2.3031 6.8953 6.3736 P
2.6435 4.0081 6.4232 P
4.0359 4.2851 1.9559 P
4.3763 1.3978 2.0054 P
5.4916 6.1800 3.7242 P
0.4786 6.3868 2.7757 O
1.0822 2.3215 3.1737 O
1.1206 7.0273 7.3243 O
1.5232 3.7666 7.4322 O
2.0922 7.7954 5.0748 O
2.4266 3.0410 5.1639 O
2.3150 5.4406 5.7093 O
2.6197 4.3196 1.5188 O
3.0532 1.0543 1.3740 O
3.6261 7.2389 7.0050 O
4.0597 3.9736 6.8602 O
4.3644 2.8525 2.6697 O
4.2528 5.2521 3.2151 O
4.5872 0.4977 3.3042 O
5.1561 4.5266 0.9468 O
5.5588 1.2659 1.0547 O
5.5971 5.9717 5.2053 O
6.2008 1.9063 5.6033 O

=====

(4)
KRu2Pt PBE-GGA relaxed; offset from the most stable computed form = 0.302 eV per atom; raw total energy = -22.74 eV per formula unit; DFT formation energy = 285 kJ/mol of formula units; space-group type = P4/mmm; calculated volume = 17.9 A^3/atom
1.0
2.7345 0.0040 0.0000
-0.0041 2.7345 0.0000
0.0000 0.0000 9.5861
K Pt Ru
1 1 2
Cartesian
1.3652 1.3693 2.3965 K
1.3652 1.3693 7.1896 Pt
0.0000 0.0000 9.1413 Ru
0.0000 0.0000 5.2380 Ru